AcDyMg | PBE | relaxed

Summary:
For the raw total energy, the calculation gives -3.45 eV/atom. Its formation enthalpy at 0 K is -4 kJ/mol of formula units. As for the energy relative to the lowest polymorph listed for this composition: 0.0000 eV/atom.

abc: 7.0806 7.0806 7.0806
angles: 147.81 147.81 46.17
Closest atoms and distances in Å follow each position.
Atoms (fractional coordinates):
1 Ac 0.0000 0.0000 0.0000  4 Mg 3.58, 5 Dy 3.74-4.01, 4 Ac 3.93
2 Dy 0.3080 0.3080 0.0000  4 Mg 3.28
3 Mg 0.6738 0.6738 0.0000  4 Dy 3.28, 4 Ac 3.58

---

ScNbSi2Te | PBE | relaxed

Summary:
Its uncorrected formation energy is 0.379 eV per atom. For the raw total energy, the calculation gives -5.70 eV/atom.

abc: 4.7815 4.7815 5.5309
angles: 90.00 90.00 90.00
Closest atoms and distances in Å follow each position.
Atoms (fractional coordinates):
1 Sc 0.0000 0.0000 0.0000  4 Te 3.38, 8 Si 3.66
2 Nb 0.5000 0.5000 0.5000  4 Si 2.39
3 Si 0.0000 0.5000 0.5000  2 Nb 2.39
4 Si 0.5000 0.0000 0.5000  2 Nb 2.39
5 Te 0.5000 0.5000 0.0000  2 Nb 2.77

---

LaSi2P2 | PBE | relaxed

Summary:
Its uncorrected formation energy is -0.320 eV per atom. For the raw total energy, the calculation gives -5.64 eV/atom. As for the energy relative to the lowest polymorph listed for this composition: 0.0000 eV/atom.

abc: 5.3524 5.3524 5.3524
angles: 127.19 127.19 77.95
Closest atoms and distances in Å follow each position.
Atoms (fractional coordinates):
1 La 0.0000 0.0000 0.0000  2 Si 2.93, 8 P 3.16
2 Si 0.3526 0.3526 0.0000  1 Si 2.45, 4 P 2.53
3 Si 0.6474 0.6474 0.0000  1 Si 2.45, 4 P 2.53
4 P 0.2500 0.7500 0.5000  4 Si 2.53
5 P 0.7500 0.2500 0.5000  4 Si 2.53

---

Sm2GaTe | PBE | relaxed

Summary:
Its uncorrected formation energy is -0.810 eV per atom. For the raw total energy, the calculation gives -4.71 eV/atom. As for the energy relative to the lowest polymorph listed for this composition: 0.2214 eV/atom.

abc: 3.7399 3.7399 7.6885
angles: 90.00 90.00 90.00
Closest atoms and distances in Å follow each position.
Atoms (fractional coordinates):
1 Sm 0.0000 0.0000 0.2435  4 Ga 3.24, 4 Te 3.30
2 Sm 0.0000 0.0000 0.7565  4 Ga 3.24, 4 Te 3.30
3 Ga 0.5000 0.5000 0.0000  8 Sm 3.24
4 Te 0.5000 0.5000 0.5000  8 Sm 3.30

---

Y3Ge5Ir6 | PBE | relaxed

Summary:
For the raw total energy, the calculation gives -7.60 eV/atom. Its formation enthalpy at 0 K is -1040 kJ/mol of formula units.

abc: 4.1095 12.6662 9.7224
angles: 90.00 90.00 90.00
Closest atoms and distances in Å follow each position.
Atoms (fractional coordinates):
1 Y 0.2500 0.0838 0.2493  7 Ir 3.03-3.32, 6 Ge 3.08-3.15
2 Y 0.2500 0.4162 0.2493  7 Ir 3.03-3.32, 6 Ge 3.08-3.15
3 Y 0.2500 0.7500 0.2462  6 Ge 3.00-3.14, 6 Ir 3.11-3.21
4 Y 0.7500 0.2500 0.7538  6 Ge 3.00-3.14, 6 Ir 3.11-3.21
5 Y 0.7500 0.5838 0.7507  7 Ir 3.03-3.32, 6 Ge 3.08-3.15
6 Y 0.7500 0.9162 0.7507  7 Ir 3.03-3.32, 6 Ge 3.08-3.15
7 Ge 0.2500 0.0800 0.6498  5 Ir 2.46-2.55
8 Ge 0.2500 0.4200 0.6498  5 Ir 2.46-2.55
9 Ge 0.2500 0.6325 0.9778  5 Ir 2.43-2.60
10 Ge 0.2500 0.7500 0.6352  4 Ir 2.51-2.52
11 Ge 0.2500 0.8675 0.9778  5 Ir 2.43-2.60
12 Ge 0.7500 0.1325 0.0222  5 Ir 2.43-2.60
13 Ge 0.7500 0.2500 0.3648  4 Ir 2.51-2.52
14 Ge 0.7500 0.3675 0.0222  5 Ir 2.43-2.60
15 Ge 0.7500 0.5800 0.3502  5 Ir 2.46-2.55
16 Ge 0.7500 0.9200 0.3502  5 Ir 2.46-2.55
17 Ir 0.2500 0.0497 0.8999  4 Ge 2.43-2.60
18 Ir 0.2500 0.2500 0.0061  4 Ge 2.54, 2 Ir 2.74
19 Ir 0.2500 0.2500 0.5136  4 Ge 2.51-2.53
20 Ir 0.2500 0.4503 0.8999  4 Ge 2.43-2.60
21 Ir 0.2500 0.5829 0.4950  4 Ge 2.49-2.55
22 Ir 0.2500 0.9171 0.4950  4 Ge 2.49-2.55
23 Ir 0.7500 0.0829 0.5050  4 Ge 2.49-2.55
24 Ir 0.7500 0.4171 0.5050  4 Ge 2.49-2.55
25 Ir 0.7500 0.5497 0.1001  4 Ge 2.43-2.60
26 Ir 0.7500 0.7500 0.4864  4 Ge 2.51-2.53
27 Ir 0.7500 0.7500 0.9939  4 Ge 2.54, 2 Ir 2.74
28 Ir 0.7500 0.9503 0.1001  4 Ge 2.43-2.60

---

Ti2Al2Fe | PBE | relaxed

Summary:
For the raw total energy, the calculation gives -5.97 eV/atom. Its formation enthalpy at 0 K is 181 kJ/mol of formula units. As for the energy relative to the lowest polymorph listed for this composition: 0.7175 eV/atom.

abc: 7.5192 7.5192 7.5192
angles: 153.79 153.79 37.41
Closest atoms and distances in Å follow each position.
Atoms (fractional coordinates):
1 Ti 0.0914 0.0914 0.0000  1 Ti 2.60, 4 Fe 2.74, 4 Al 2.83
2 Ti 0.9086 0.9086 0.0000  1 Ti 2.60, 4 Fe 2.74, 4 Al 2.83
3 Al 0.2500 0.7500 0.5000  4 Al 2.41
4 Al 0.7500 0.2500 0.5000  4 Al 2.41
5 Fe 0.5000 0.5000 0.0000  8 Ti 2.74

---

Tb2ScO | PBE | relaxed

Summary:
Its uncorrected formation energy is -1.150 eV per atom. For the raw total energy, the calculation gives -6.29 eV/atom. As for the energy relative to the lowest polymorph listed for this composition: 0.0000 eV/atom.

abc: 9.0816 9.0816 9.0816
angles: 21.88 21.88 21.88
Closest atoms and distances in Å follow each position.
Atoms (fractional coordinates):
1 Tb 0.1165 0.1165 0.1165  3 O 2.40
2 Tb 0.8835 0.8835 0.8835  3 O 2.40
3 Sc 0.0000 0.0000 0.0000  2 Tb 3.10, 6 Sc 3.45
4 O 0.5000 0.5000 0.5000  6 Tb 2.40

---

Tb2Ho6TmSc | PBE | relaxed

Summary:
For the raw total energy, the calculation gives -4.63 eV/atom. Its formation enthalpy at 0 K is 121 kJ/mol of formula units.

abc: 8.6198 8.6198 9.4251
angles: 94.21 94.21 117.42
Closest atoms and distances in Å follow each position.
Atoms (fractional coordinates):
1 Tb 0.1990 0.3013 0.0459  5 Ho 3.17-3.45, 2 Tm 3.32-3.35, 1 Sc 3.42
2 Tb 0.3013 0.1990 0.5459  5 Ho 3.17-3.45, 2 Tm 3.32-3.35, 1 Sc 3.42
3 Tb 0.6987 0.8010 0.4541  5 Ho 3.17-3.45, 2 Tm 3.32-3.35, 1 Sc 3.42
4 Tb 0.8010 0.6987 0.9541  5 Ho 3.17-3.45, 2 Tm 3.32-3.35, 1 Sc 3.42
5 Ho 0.0092 0.5682 0.1897  3 Ho 3.21-3.56, 1 Tb 3.33, 1 Sc 3.35, 1 Tm 3.50
6 Ho 0.1263 0.7510 0.5560  7 Ho 3.38-3.67, 1 Tb 3.45, 1 Tm 3.57, 1 Sc 3.78
7 Ho 0.2490 0.8737 0.9440  7 Ho 3.38-3.67, 1 Tb 3.45, 1 Tm 3.57, 1 Sc 3.78
8 Ho 0.2928 0.5039 0.3827  3 Tb 3.17-3.36, 4 Ho 3.21-3.45, 2 Sc 3.30-3.46
9 Ho 0.4318 0.9908 0.3103  3 Ho 3.21-3.56, 1 Tb 3.33, 1 Sc 3.35, 1 Tm 3.50
10 Ho 0.4961 0.7072 0.1173  3 Tb 3.17-3.36, 4 Ho 3.21-3.45, 2 Sc 3.30-3.46
11 Ho 0.5039 0.2928 0.8827  3 Tb 3.17-3.36, 4 Ho 3.21-3.45, 2 Sc 3.30-3.46
12 Ho 0.5682 0.0092 0.6897  3 Ho 3.21-3.56, 1 Tb 3.33, 1 Sc 3.35, 1 Tm 3.50
13 Ho 0.7072 0.4961 0.6173  3 Tb 3.17-3.36, 4 Ho 3.21-3.45, 2 Sc 3.30-3.46
14 Ho 0.7510 0.1263 0.0560  7 Ho 3.38-3.67, 1 Tb 3.45, 1 Tm 3.57, 1 Sc 3.78
15 Ho 0.8737 0.2490 0.4440  7 Ho 3.38-3.67, 1 Tb 3.45, 1 Tm 3.57, 1 Sc 3.78
16 Ho 0.9908 0.4318 0.8103  3 Ho 3.21-3.56, 1 Tb 3.33, 1 Sc 3.35, 1 Tm 3.50
17 Tm 0.0207 0.9793 0.2500  4 Tb 3.32-3.35, 4 Ho 3.50-3.57
18 Tm 0.9793 0.0207 0.7500  4 Tb 3.32-3.35, 4 Ho 3.50-3.57
19 Sc 0.4117 0.5883 0.7500  6 Ho 3.30-3.46, 2 Tb 3.42
20 Sc 0.5883 0.4117 0.2500  6 Ho 3.30-3.46, 2 Tb 3.42

---

Question: Which value of raw total energy does entry 5 give?
Answer: -7.60 eV/atom

---

Question: Which of these has the lowest raw total energy?
Answer: Y3Ge5Ir6

---

Question: The lowest raw total energy belongs to which entry?
Answer: Y3Ge5Ir6

---

Question: Among the records above, which one has the lowest raw total energy?
Answer: Y3Ge5Ir6